[1]
Ti6Al2Ge after structural relaxation, computed with GGA-PBE.

```
Ti6Al2Ge
1.0
7.2951 0.0000 0.0000
-3.6475 6.3177 0.0000
0.0000 0.0000 3.2883
Ti Al Ge
6 2 1
direct
0.0000 0.2723 0.0000 Ti
0.0000 0.6101 0.5000 Ti
0.2723 0.0000 0.0000 Ti
0.3899 0.3899 0.5000 Ti
0.6101 0.0000 0.5000 Ti
0.7277 0.7277 0.0000 Ti
0.3333 0.6667 0.0000 Al
0.6667 0.3333 0.0000 Al
0.0000 0.0000 0.5000 Ge
```

Values from the calculation:
ΔH_f (0 K): -0.367 eV per atom

---

[2]
TiAl2Ge after structural relaxation, computed with GGA-PBE.

```
TiAl2Ge
1.0
3.9486 0.0000 0.0000
0.0000 3.9486 0.0000
0.0000 0.0000 4.0916
Ti Al Ge
1 2 1
direct
0.0000 0.0000 0.0000 Ti
0.0000 0.5000 0.5000 Al
0.5000 0.0000 0.5000 Al
0.5000 0.5000 0.0000 Ge
```

Values from the calculation:
ΔH_f (0 K): -0.244 eV per atom